Below is Tm7Al2Te2 after structural relaxation, with properties calculated at the PBE level.

Geometry as POSCAR:
```
Tm7Al2Te2
1.0
-2.194 7.314 4.670
2.194 -7.314 4.670
2.194 7.314 -4.670
Tm Al Te
7 2 2
direct
0.000 0.000 0.000
0.070 0.387 0.683
0.118 0.761 0.357
0.403 0.761 0.643
0.472 0.604 0.868
0.704 0.387 0.317
0.737 0.604 0.132
0.307 0.080 0.228
0.852 0.080 0.772
0.347 0.347 0.000
0.734 0.234 0.500
```

Fermi-level density of states	0.85	states/eV/atom
crystal system	orthorhombic
raw formation energy	-592	meV per atom
excess energy over the best structure of this formula in the dataset	0.000	eV per atom
raw total energy	-0.17231	Ha/atom